# 1
YMoAs2 | GGA-PBE | optimized geometry

The structure in POSCAR format:
```
YMoAs2
1.0
6.725 0.000 0.000
0.000 6.725 0.000
0.000 0.000 6.725
Y Mo As
4 4 8
Direct
0.000 0.000 0.000 Y
0.000 0.500 0.500 Y
0.500 0.000 0.500 Y
0.500 0.500 0.000 Y
0.250 0.250 0.750 Mo
0.250 0.750 0.250 Mo
0.750 0.250 0.250 Mo
0.750 0.750 0.750 Mo
0.000 0.000 0.500 As
0.000 0.500 0.000 As
0.250 0.250 0.250 As
0.250 0.750 0.750 As
0.500 0.000 0.000 As
0.500 0.500 0.500 As
0.750 0.250 0.750 As
0.750 0.750 0.250 As
```

# 2
YMoAs2 | GGA-PBE | optimized geometry

The structure in POSCAR format:
```
YMoAs2
1.0
6.725 0.000 0.000
0.000 6.725 0.000
0.000 0.000 6.725
Y Mo As
4 4 8
Direct
0.000 0.000 0.000 Y
0.000 0.500 0.500 Y
0.500 0.000 0.500 Y
0.500 0.500 0.000 Y
0.250 0.250 0.250 Mo
0.250 0.750 0.750 Mo
0.750 0.250 0.750 Mo
0.750 0.750 0.250 Mo
0.000 0.000 0.500 As
0.000 0.500 0.000 As
0.250 0.250 0.750 As
0.250 0.750 0.250 As
0.500 0.000 0.000 As
0.500 0.500 0.500 As
0.750 0.250 0.250 As
0.750 0.750 0.750 As
```

# 3
YMo2As | GGA-PBE | optimized geometry

The structure in POSCAR format:
```
YMo2As
1.0
6.608 0.000 0.000
0.000 6.608 0.000
0.000 0.000 6.608
Y Mo As
4 8 4
Direct
0.000 0.000 0.000 Y
0.000 0.500 0.500 Y
0.500 0.000 0.500 Y
0.500 0.500 0.000 Y
0.000 0.000 0.500 Mo
0.000 0.500 0.000 Mo
0.250 0.250 0.250 Mo
0.250 0.750 0.750 Mo
0.500 0.000 0.000 Mo
0.500 0.500 0.500 Mo
0.750 0.250 0.750 Mo
0.750 0.750 0.250 Mo
0.250 0.250 0.750 As
0.250 0.750 0.250 As
0.750 0.250 0.250 As
0.750 0.750 0.750 As
```

Sequential VASP energy output: -6.486; -6.486; -8.057 eV per atom